Entry 1:
# LiGdHg2

A relaxed structure of LiGdHg2 (GGA-PBEsol, the Alexandria database).

Results
DFT formation energy: -0.52 eV per atom
space-group type: No. 225
D(E_F): 0.572 states/eV/atom

Lattice parameters (Å, degrees): 4.982 4.982 4.982 60.00 60.00 60.00
Element x y z (fractional)
Li (0.000, 0.000, 0.000)
Gd (0.500, 0.500, 0.500)
Hg (0.250, 0.250, 0.250)
Hg (0.750, 0.750, 0.750)

Entry 2:
# NaGdHg2

A relaxed structure of NaGdHg2 (GGA-PBEsol, the Alexandria database).

Results
DFT formation energy: -0.40 eV per atom
space-group type: No. 225
D(E_F): 0.560 states/eV/atom

Lattice parameters (Å, degrees): 5.110 5.110 5.110 60.00 60.00 60.00
Element x y z (fractional)
Na (0.000, 0.000, 0.000)
Gd (0.500, 0.500, 0.500)
Hg (0.250, 0.250, 0.250)
Hg (0.750, 0.750, 0.750)

no.,raw total energy (eV per atom)
1,-4.9032
2,-4.6499